PmNd4Sn | GGA-PBE | relaxed

a b c (Å): 12.4234 12.4234 6.7610
angles (deg): 90.00 90.00 154.92
Positions (direct):
1 Pm 0.0585 0.9415 0.7500
2 Pm 0.9415 0.0585 0.2500
3 Nd 0.0836 0.9164 0.2500
4 Nd 0.2044 0.7956 0.0026
5 Nd 0.2044 0.7956 0.4974
6 Nd 0.3569 0.6431 0.2500
7 Nd 0.6431 0.3569 0.7500
8 Nd 0.7956 0.2044 0.5026
9 Nd 0.7956 0.2044 0.9974
10 Nd 0.9164 0.0836 0.7500
11 Sn 0.3322 0.6678 0.7500
12 Sn 0.6678 0.3322 0.2500

E_form = 0.048 eV per atom
Space group = Cmcm (63)

***

ReRu2Pt | GGA-PBE | relaxed

a b c (Å): 5.4682 9.2468 2.6887
angles (deg): 90.00 118.89 90.00
Positions (direct):
1 Re 0.0000 0.0000 0.0000
2 Re 0.5000 0.5000 0.0000
3 Ru 0.2500 0.2500 0.5000
4 Ru 0.2500 0.7500 0.5000
5 Ru 0.7500 0.2500 0.5000
6 Ru 0.7500 0.7500 0.5000
7 Pt 0.0000 0.5000 0.0000
8 Pt 0.5000 0.0000 0.0000

E_form = 0.323 eV per atom
Space group = C2/m (12)

***

TaMnTcW2 | GGA-PBE | relaxed

a b c (Å): 4.7555 4.7555 4.6117
angles (deg): 90.00 90.00 90.00
Positions (direct):
1 Ta 0.0000 0.0000 0.0000
2 Mn 0.5000 0.5000 0.5000
3 Tc 0.0000 0.0000 0.5000
4 W 0.0000 0.5000 0.0000
5 W 0.5000 0.0000 0.0000

E_form = 2.528 eV per atom
Space group = P4/mmm (123)

***

- Which value of E_form does entry 1 give?
  0.048 eV per atom